Record 1
Compound: Th3Cr5N12
Source: Alexandria via LeMat-Bulk
Functional: GGA-PBE
Structure: relaxed

The value obtained for the total DFT energy (no corrections) is -749.77 eV/cell. As for the uncorrected formation energy: -0.858 eV per atom.

a = 10.885 Å, b = 10.885 Å, c = 10.885 Å
α = 109.47°, β = 109.47°, γ = 109.47°
Element x y z (fractional)
1 N 0.893 0.081 0.882
2 N 0.893 0.812 0.512
3 N 0.488 0.688 0.107
4 N 0.199 0.512 0.618
5 N 0.393 0.012 0.312
6 N 0.382 0.393 0.081
7 N 0.118 0.419 0.107
8 N 0.618 0.012 0.199
9 N 0.607 0.618 0.419
10 N 0.812 0.893 0.012
11 N 0.919 0.107 0.618
12 N 0.312 0.801 0.419
13 N 0.081 0.893 0.382
14 N 0.988 0.382 0.301
15 N 0.801 0.312 0.919
16 N 0.581 0.699 0.688
17 N 0.393 0.382 0.581
18 N 0.312 0.512 0.393
19 N 0.488 0.801 0.882
20 N 0.118 0.699 0.512
21 N 0.188 0.107 0.988
22 N 0.919 0.812 0.801
23 N 0.012 0.393 0.812
24 N 0.012 0.618 0.699
25 N 0.699 0.118 0.012
26 N 0.882 0.581 0.893
27 N 0.988 0.607 0.188
28 N 0.382 0.988 0.801
29 N 0.081 0.188 0.199
30 N 0.581 0.882 0.393
31 N 0.699 0.581 0.188
32 N 0.107 0.188 0.488
33 N 0.419 0.118 0.607
34 N 0.688 0.488 0.607
35 N 0.512 0.199 0.118
36 N 0.512 0.312 0.893
37 N 0.419 0.301 0.312
38 N 0.188 0.081 0.699
39 N 0.301 0.419 0.812
40 N 0.688 0.199 0.581
41 N 0.812 0.919 0.301
42 N 0.199 0.688 0.081
43 N 0.801 0.488 0.382
44 N 0.618 0.607 0.919
45 N 0.607 0.988 0.688
46 N 0.301 0.882 0.988
47 N 0.882 0.301 0.488
48 N 0.107 0.919 0.118
49 Th 0.125 0.250 0.875
50 Th 0.750 0.375 0.125
51 Th 0.750 0.875 0.625
52 Th 0.125 0.875 0.750
53 Th 0.625 0.375 0.750
54 Th 0.375 0.750 0.625
55 Th 0.875 0.750 0.125
56 Th 0.250 0.125 0.375
57 Th 0.875 0.125 0.250
58 Th 0.625 0.250 0.375
59 Th 0.375 0.625 0.250
60 Th 0.250 0.625 0.875
61 Cr 0.125 0.750 0.375
62 Cr 0.375 0.250 0.125
63 Cr 0.000 0.500 0.000
64 Cr 0.500 0.000 0.500
65 Cr 0.250 0.375 0.625
66 Cr 0.500 0.500 0.500
67 Cr 0.625 0.750 0.875
68 Cr 0.875 0.250 0.625
69 Cr 0.125 0.375 0.250
70 Cr 0.375 0.125 0.750
71 Cr 0.250 0.875 0.125
72 Cr 0.500 0.000 0.000
73 Cr 0.750 0.625 0.375
74 Cr 0.000 0.500 0.500
75 Cr 0.750 0.125 0.875
76 Cr 0.875 0.625 0.750
77 Cr 0.500 0.500 0.000
78 Cr 0.000 0.000 0.000
79 Cr 0.625 0.875 0.250
80 Cr 0.000 0.000 0.500

***

Record 2
Compound: Th2CrN3
Source: Alexandria via LeMat-Bulk
Functional: GGA-PBE
Structure: relaxed

The value obtained for the total DFT energy (no corrections) is -57.57 eV/cell. As for the uncorrected formation energy: -1.354 eV per atom.

a = 6.948 Å, b = 6.948 Å, c = 6.948 Å
α = 150.26°, β = 148.19°, γ = 44.11°
Element x y z (fractional)
1 Cr 0.000 0.000 0.000
2 N 0.164 0.164 0.000
3 N 0.836 0.836 0.000
4 N 0.500 0.000 0.500
5 Th 0.645 0.645 0.000
6 Th 0.355 0.355 0.000

***

Record 3
Compound: Th2UCrN5
Source: Alexandria via LeMat-Bulk
Functional: GGA-PBE
Structure: relaxed

The value obtained for the total DFT energy (no corrections) is -171.44 eV/cell. As for the uncorrected formation energy: -0.927 eV per atom.

a = 5.748 Å, b = 6.667 Å, c = 6.667 Å
α = 90.00°, β = 90.00°, γ = 90.00°
Element x y z (fractional)
1 N 0.223 0.646 0.854
2 N 0.223 0.354 0.146
3 N 0.223 0.146 0.646
4 N 0.777 0.146 0.646
5 N 0.777 0.646 0.854
6 N 0.500 0.500 0.500
7 N 0.777 0.354 0.146
8 N 0.500 0.000 0.000
9 N 0.223 0.854 0.354
10 N 0.777 0.854 0.354
11 Th 0.500 0.168 0.332
12 Th 0.500 0.332 0.832
13 Th 0.500 0.832 0.668
14 Th 0.500 0.668 0.168
15 U 0.000 0.500 0.500
16 U 0.000 0.000 0.000
17 Cr 0.000 0.000 0.500
18 Cr 0.000 0.500 0.000